The following is a DFT calculation (GGA-PBE) of an optimized crystal structure of CaSm2Ir.

a = 4.060 Å, b = 4.060 Å, c = 10.988 Å
α = 79.35°, β = 79.35°, γ = 60.00°
Fractional coordinates of all 4 atoms:
1 Sm 0.880 0.880 0.359
2 Sm 0.120 0.120 0.641
3 Ca 0.000 0.000 0.000
4 Ir 0.500 0.500 0.500

Calculated values
Energy of formation from the pure elements   -1.0 eV/f.u.
Space group   R-3m, No. 166
Final energy   -5.321 eV/atom